(1)
Ac12Pm3Ho after structural relaxation, computed with GGA-PBE.

As for the density of states at the Fermi level: 25.95 states/eV per cell. The calculation puts the calculated formation energy at 29 meV per atom.

It has space group P4/mmm (No. 123), with a = 5.517 Å, b = 5.517 Å, c = 22.017 Å, α = 90.00°, β = 90.00° and γ = 90.00°. The inequivalent atoms are Ac at (0.000, 0.000, 0.000), Ac at (0.000, 0.000, 0.249), Ac at (0.000, 0.000, 0.500), Ac at (0.000, 0.500, 0.124), Ac at (0.000, 0.500, 0.374), Pm at (0.500, 0.500, 0.249), Pm at (0.500, 0.500, 0.500) and Ho at (0.500, 0.500, 0.000).



(2)
AcPm5Ho after structural relaxation, computed with GGA-PBE.

As for the density of states at the Fermi level: 40.39 states/eV per cell. The calculation puts the calculated formation energy at 91 meV per atom.

It has space group C2/c (No. 15), with a = 8.937 Å, b = 10.092 Å, c = 11.767 Å, α = 90.00°, β = 108.98° and γ = 90.00°. The inequivalent atoms are Ac at (0.250, 0.250, 0.000), Pm at (0.000, 0.079, 0.750), Pm at (0.127, 0.427, 0.669), Pm at (0.171, 0.105, 0.534) and Ho at (0.000, 0.260, 0.250).



(3)
Ac3Pm6Ho2 after structural relaxation, computed with GGA-PBE.

As for the density of states at the Fermi level: 45.21 states/eV per cell. The calculation puts the calculated formation energy at 46 meV per atom.

It has space group R-3m (No. 166, hexagonal axes), with a = 3.7369 Å, b = 3.7369 Å, c = 99.4059 Å, α = 90.00°, β = 90.00° and γ = 120.00°. The inequivalent atoms are Ac at (0.0000, 0.0000, 0.0000), Ac at (0.0000, 0.0000, 0.2707), Pm at (0.0000, 0.0000, 0.0941), Pm at (0.0000, 0.0000, 0.1815), Pm at (0.0000, 0.0000, 0.3646) and Ho at (0.0000, 0.0000, 0.4563).



(4)
AcPm4Ho3 after structural relaxation, computed with GGA-PBE.

The value obtained for the relative energy among the computed polymorphs is 0 meV per atom. As for the density of states at the Fermi level: 12.05 states/eV per cell. The calculation puts the calculated formation energy at 75 meV per atom.

It has space group Pmm2 (No. 25), with a = 3.580 Å, b = 5.657 Å, c = 13.621 Å, α = 90.00°, β = 90.00° and γ = 90.00°. The inequivalent atoms are Ac at (0.000, 0.000, 0.000), Pm at (0.000, 0.000, 0.268), Pm at (0.000, 0.500, 0.604), Pm at (0.500, 0.000, 0.750), Pm at (0.500, 0.500, 0.118), Ho at (0.000, 0.500, 0.863), Ho at (0.500, 0.000, 0.498) and Ho at (0.500, 0.500, 0.374).



(5)
AcPm4Ho7 after structural relaxation, computed with GGA-PBE.

The value obtained for the relative energy among the computed polymorphs is 275 meV per atom. As for the density of states at the Fermi level: 39.88 states/eV per cell. The calculation puts the calculated formation energy at 296 meV per atom.

It has space group C2/m (No. 12), with a = 12.330 Å, b = 6.068 Å, c = 12.705 Å, α = 90.00°, β = 118.85° and γ = 90.00°. The inequivalent atoms are Ac at (0.000, 0.000, 0.000), Pm at (0.130, 0.500, 0.776), Pm at (0.249, 0.000, 0.679), Ho at (0.000, 0.500, 0.000), Ho at (0.056, 0.000, 0.338), Ho at (0.134, 0.500, 0.504) and Ho at (0.217, 0.000, 0.921).



(6)
Ac4Pm5Ho after structural relaxation, computed with GGA-PBE.

As for the density of states at the Fermi level: 17.22 states/eV per cell. The calculation puts the calculated formation energy at 41 meV per atom.

It has space group P4/mmm (No. 123), with a = 3.825 Å, b = 3.825 Å, c = 25.962 Å, α = 90.00°, β = 90.00° and γ = 90.00°. The inequivalent atoms are Ac at (0.000, 0.000, 0.102), Ac at (0.000, 0.000, 0.306), Pm at (0.500, 0.500, 0.000), Pm at (0.500, 0.500, 0.204), Pm at (0.500, 0.500, 0.409) and Ho at (0.000, 0.000, 0.500).



(7)
Ac3Pm4Ho after structural relaxation, computed with GGA-PBE.

As for the density of states at the Fermi level: 26.15 states/eV per cell. The calculation puts the calculated formation energy at 43 meV per atom.

It has space group Pmmn (No. 59, origin choice 2), with a = 5.337 Å, b = 10.625 Å, c = 10.624 Å, α = 90.00°, β = 90.00° and γ = 90.00°. The inequivalent atoms are Ac at (0.250, 0.005, 0.132), Ac at (0.250, 0.250, 0.868), Pm at (0.250, 0.250, 0.381), Pm at (0.250, 0.504, 0.617), Pm at (0.250, 0.750, 0.385) and Ho at (0.250, 0.750, 0.863).



(8)
Ac2Pm4Ho after structural relaxation, computed with GGA-PBE.

The value obtained for the relative energy among the computed polymorphs is 0 meV per atom. As for the density of states at the Fermi level: 23.18 states/eV per cell. The calculation puts the calculated formation energy at 82 meV per atom.

It has space group Cmmm (No. 65), with a = 3.692 Å, b = 38.108 Å, c = 3.704 Å, α = 90.00°, β = 90.00° and γ = 90.00°. The inequivalent atoms are Ac at (0.000, 0.205, 0.000), Pm at (0.000, 0.065, 0.000), Pm at (0.000, 0.368, 0.500) and Ho at (0.000, 0.500, 0.500).